Compound: Mg2ReW
Source: Alexandria
Functional: GGA-PBE
Structure: optimized geometry

```
Mg2ReW
1.0
9.739 -0.006 -0.003
9.327 2.804 -0.003
9.327 1.369 2.447
Re W Mg
1 1 2
Cartesian
7.098 1.042 0.610 Re
21.295 3.125 1.830 W
14.247 2.091 1.224 Mg
28.342 4.159 2.436 Mg
```

Values from the calculation:
Excess energy over the best structure of this formula in the dataset   1.17 eV per formula unit
Symmetry   No. 166

***

Compound: ZnFe2Cl
Source: Alexandria
Functional: GGA-PBE
Structure: optimized geometry

```
ZnFe2Cl
1.0
2.877 0.039 0.000
-0.955 2.714 0.000
0.000 0.000 7.874
Fe Cl Zn
2 1 1
Cartesian
0.000 0.000 0.110 Fe
0.961 1.376 1.825 Fe
0.961 1.376 6.222 Cl
0.000 0.000 3.652 Zn
```

Values from the calculation:
Excess energy over the best structure of this formula in the dataset   0.35 eV per formula unit
Formation energy from raw total energies   0.6 eV/f.u.
Symmetry   No. 35

***

Compound: Te4Pd3Au
Source: Alexandria
Functional: GGA-PBE
Structure: optimized geometry

```
Te4Pd3Au
1.0
-1.460 6.177 2.961
0.087 -3.128 6.567
7.784 1.538 0.630
Pd Te Au
6 8 2
Cartesian
3.737 0.916 1.866 Pd
1.709 2.365 3.544 Pd
0.194 4.058 7.548 Pd
-0.830 1.256 7.189 Pd
4.905 4.989 7.930 Pd
4.781 2.972 3.792 Pd
6.051 0.768 3.181 Te
1.454 2.207 6.195 Te
-0.833 3.002 2.962 Te
3.843 -1.264 5.884 Te
2.837 4.741 3.651 Te
1.478 -0.136 2.811 Te
4.664 2.841 6.455 Te
-0.269 -1.133 6.091 Te
3.323 0.599 7.759 Au
-1.374 5.627 3.238 Au
```

Values from the calculation:
Formation energy from raw total energies   -1.4 eV/f.u.
Symmetry   No. 31

***

Number 1: VASP energy -6.675 eV per atom, density of states at the Fermi level 6.1 states/eV per cell. Number 2: VASP energy -4.857 eV per atom, density of states at the Fermi level 1.8 states/eV per cell. Number 3: VASP energy -4.101 eV per atom, density of states at the Fermi level 9.6 states/eV per cell.